A relaxed Rb5Na2Ge4 crystal. Source: Alexandria via LeMat-Bulk, functional PBE-GGA.

Calculated values
As for the space group: No. 12.

The structure in CIF format:
```
data_Rb5Na2Ge4
_chemical_formula_sum 'Rb5 Na2 Ge4'
_space_group_name_H-M_alt 'P 1'
_space_group_IT_number 1
_space_group_name_Hall 'P 1'
_cell_length_a 7.166
_cell_length_b 8.584
_cell_length_c 10.437
_cell_angle_alpha 57.82
_cell_angle_beta 69.92
_cell_angle_gamma 65.33
loop_
_atom_site_label
_atom_site_type_symbol
_atom_site_fract_x
_atom_site_fract_y
_atom_site_fract_z
Rb1 Rb 0.151 0.295 0.916
Rb2 Rb 0.849 0.705 0.084
Rb3 Rb 0.000 0.500 0.500
Rb4 Rb 0.638 0.295 0.916
Rb5 Rb 0.362 0.705 0.084
Na1 Na 0.242 0.916 0.599
Na2 Na 0.758 0.084 0.401
Ge1 Ge 0.390 0.953 0.268
Ge2 Ge 0.610 0.047 0.732
Ge3 Ge 0.760 0.742 0.738
Ge4 Ge 0.240 0.258 0.262
```


A relaxed LiSmSb crystal. Source: Alexandria via LeMat-Bulk, functional PBE-GGA.

Calculated values
As for the space group: No. 216. The value obtained for the raw formation energy is -62.6 kJ per mole of atoms.

The structure in CIF format:
```
data_LiSmSb
_chemical_formula_sum 'Li1 Sm1 Sb1'
_space_group_name_H-M_alt 'P 1'
_space_group_IT_number 1
_space_group_name_Hall 'P 1'
_cell_length_a 4.982
_cell_length_b 4.982
_cell_length_c 4.982
_cell_angle_alpha 60.00
_cell_angle_beta 60.00
_cell_angle_gamma 60.00
loop_
_atom_site_label
_atom_site_type_symbol
_atom_site_fract_x
_atom_site_fract_y
_atom_site_fract_z
Sb1 Sb 0.250 0.250 0.250
Sm1 Sm 0.000 0.000 0.000
Li1 Li 0.500 0.500 0.500
```


A relaxed CsNaHg10 crystal. Source: Alexandria via LeMat-Bulk, functional PBE-GGA.

Calculated values
As for the space group: No. 47.

The structure in CIF format:
```
data_CsNaHg10
_chemical_formula_sum 'Cs1 Na1 Hg10'
_space_group_name_H-M_alt 'P 1'
_space_group_IT_number 1
_space_group_name_Hall 'P 1'
_cell_length_a 5.666
_cell_length_b 6.203
_cell_length_c 10.963
_cell_angle_alpha 90.00
_cell_angle_beta 90.00
_cell_angle_gamma 90.00
loop_
_atom_site_label
_atom_site_type_symbol
_atom_site_fract_x
_atom_site_fract_y
_atom_site_fract_z
Cs1 Cs 0.000 0.500 0.500
Na1 Na 0.000 0.000 0.000
Hg1 Hg 0.000 0.000 0.297
Hg2 Hg 0.000 0.500 0.852
Hg3 Hg 0.000 0.500 0.148
Hg4 Hg 0.000 0.000 0.703
Hg5 Hg 0.500 0.000 0.500
Hg6 Hg 0.500 0.500 0.000
Hg7 Hg 0.500 0.250 0.248
Hg8 Hg 0.500 0.750 0.752
Hg9 Hg 0.500 0.750 0.248
Hg10 Hg 0.500 0.250 0.752
```


A relaxed NiPtPb crystal. Source: Alexandria via LeMat-Bulk, functional PBE-GGA.

Calculated values
As for the space group: No. 12.

The structure in CIF format:
```
data_NiPtPb
_chemical_formula_sum 'Ni2 Pt2 Pb2'
_space_group_name_H-M_alt 'P 1'
_space_group_IT_number 1
_space_group_name_Hall 'P 1'
_cell_length_a 3.928
_cell_length_b 5.149
_cell_length_c 6.500
_cell_angle_alpha 111.19
_cell_angle_beta 90.00
_cell_angle_gamma 112.42
loop_
_atom_site_label
_atom_site_type_symbol
_atom_site_fract_x
_atom_site_fract_y
_atom_site_fract_z
Ni1 Ni 0.877 0.753 0.826
Ni2 Ni 0.123 0.247 0.174
Pt1 Pt 0.367 0.734 0.545
Pt2 Pt 0.633 0.266 0.455
Pb1 Pb 0.858 0.717 0.225
Pb2 Pb 0.142 0.283 0.775
```


A relaxed K2RbNaGa crystal. Source: Alexandria via LeMat-Bulk, functional PBE-GGA.

Calculated values
As for the space group: No. 123.

The structure in CIF format:
```
data_K2RbNaGa
_chemical_formula_sum 'K2 Rb1 Na1 Ga1'
_space_group_name_H-M_alt 'P 1'
_space_group_IT_number 1
_space_group_name_Hall 'P 1'
_cell_length_a 6.776
_cell_length_b 6.776
_cell_length_c 6.076
_cell_angle_alpha 90.00
_cell_angle_beta 90.00
_cell_angle_gamma 90.00
loop_
_atom_site_label
_atom_site_type_symbol
_atom_site_fract_x
_atom_site_fract_y
_atom_site_fract_z
Na1 Na 0.000 0.000 0.500
K1 K 0.000 0.500 0.000
K2 K 0.500 0.000 0.000
Ga1 Ga 0.000 0.000 0.000
Rb1 Rb 0.500 0.500 0.500
```


A relaxed Y6MgSi2S14 crystal. Source: Alexandria via LeMat-Bulk, functional PBE-GGA.

Calculated values
As for the space group: No. 143. The value obtained for the raw formation energy is -160.2 kJ per mole of atoms.

The structure in CIF format:
```
data_Y6MgSi2S14
_chemical_formula_sum 'Y6 Mg1 Si2 S14'
_space_group_name_H-M_alt 'P 1'
_space_group_IT_number 1
_space_group_name_Hall 'P 1'
_cell_length_a 9.929
_cell_length_b 9.929
_cell_length_c 5.658
_cell_angle_alpha 90.00
_cell_angle_beta 90.00
_cell_angle_gamma 120.00
loop_
_atom_site_label
_atom_site_type_symbol
_atom_site_fract_x
_atom_site_fract_y
_atom_site_fract_z
Y1 Y 0.975 0.436 0.750
Y2 Y 0.461 0.025 0.750
Y3 Y 0.564 0.539 0.750
Y4 Y 0.690 0.896 0.245
Y5 Y 0.206 0.310 0.245
Y6 Y 0.104 0.794 0.245
Mg1 Mg 0.333 0.667 0.522
Si1 Si 0.667 0.333 0.163
Si2 Si 0.000 0.000 0.655
S1 S 0.667 0.333 0.535
S2 S 0.000 0.000 0.028
S3 S 0.083 0.508 0.282
S4 S 0.425 0.917 0.282
S5 S 0.492 0.575 0.282
S6 S 0.584 0.828 0.766
S7 S 0.244 0.416 0.766
S8 S 0.172 0.756 0.766
S9 S 0.812 0.559 0.012
S10 S 0.747 0.188 0.012
S11 S 0.441 0.253 0.012
S12 S 0.854 0.774 0.506
S13 S 0.919 0.146 0.506
S14 S 0.226 0.081 0.506
```


A relaxed Pm3YRu crystal. Source: Alexandria via LeMat-Bulk, functional PBE-GGA.

Calculated values
As for the space group: No. 221.

The structure in CIF format:
```
data_Pm3YRu
_chemical_formula_sum 'Pm3 Y1 Ru1'
_space_group_name_H-M_alt 'P 1'
_space_group_IT_number 1
_space_group_name_Hall 'P 1'
_cell_length_a 5.499
_cell_length_b 5.499
_cell_length_c 5.499
_cell_angle_alpha 90.00
_cell_angle_beta 90.00
_cell_angle_gamma 90.00
loop_
_atom_site_label
_atom_site_type_symbol
_atom_site_fract_x
_atom_site_fract_y
_atom_site_fract_z
Y1 Y 0.500 0.500 0.500
Ru1 Ru 0.000 0.000 0.000
Pm1 Pm 0.000 0.500 0.000
Pm2 Pm 0.000 0.000 0.500
Pm3 Pm 0.500 0.000 0.000
```


A relaxed LaMg2Zn2 crystal. Source: Alexandria via LeMat-Bulk, functional PBE-GGA.

Calculated values
As for the space group: No. 127.

The structure in CIF format:
```
data_LaMg2Zn2
_chemical_formula_sum 'La2 Mg4 Zn4'
_space_group_name_H-M_alt 'P 1'
_space_group_IT_number 1
_space_group_name_Hall 'P 1'
_cell_length_a 8.480
_cell_length_b 8.480
_cell_length_c 3.017
_cell_angle_alpha 90.00
_cell_angle_beta 90.00
_cell_angle_gamma 90.00
loop_
_atom_site_label
_atom_site_type_symbol
_atom_site_fract_x
_atom_site_fract_y
_atom_site_fract_z
Zn1 Zn 0.170 0.670 0.500
Zn2 Zn 0.670 0.830 0.500
Zn3 Zn 0.830 0.330 0.500
Zn4 Zn 0.330 0.170 0.500
Mg1 Mg 0.375 0.875 0.000
Mg2 Mg 0.875 0.625 0.000
Mg3 Mg 0.625 0.125 0.000
Mg4 Mg 0.125 0.375 0.000
La1 La 0.000 0.000 0.000
La2 La 0.500 0.500 0.000
```


A relaxed HfBi2N crystal. Source: Alexandria via LeMat-Bulk, functional PBE-GGA.

Calculated values
As for the space group: No. 122. The value obtained for the raw formation energy is 76.9 kJ per mole of atoms.

The structure in CIF format:
```
data_HfBi2N
_chemical_formula_sum 'Hf2 Bi4 N2'
_space_group_name_H-M_alt 'P 1'
_space_group_IT_number 1
_space_group_name_Hall 'P 1'
_cell_length_a 6.990
_cell_length_b 6.990
_cell_length_c 6.236
_cell_angle_alpha 55.91
_cell_angle_beta 55.91
_cell_angle_gamma 90.00
loop_
_atom_site_label
_atom_site_type_symbol
_atom_site_fract_x
_atom_site_fract_y
_atom_site_fract_z
Hf1 Hf 0.000 0.000 0.000
Hf2 Hf 0.750 0.250 0.500
Bi1 Bi 0.547 0.125 0.250
Bi2 Bi 0.203 0.625 0.250
Bi3 Bi 0.375 0.453 0.750
Bi4 Bi 0.875 0.797 0.750
N1 N 0.500 0.500 0.000
N2 N 0.250 0.750 0.500
```


A relaxed NaZrAl crystal. Source: Alexandria via LeMat-Bulk, functional PBE-GGA.

Calculated values
As for the space group: No. 191.

The structure in CIF format:
```
data_NaZrAl
_chemical_formula_sum 'Na2 Zr2 Al2'
_space_group_name_H-M_alt 'P 1'
_space_group_IT_number 1
_space_group_name_Hall 'P 1'
_cell_length_a 11.701
_cell_length_b 4.839
_cell_length_c 4.839
_cell_angle_alpha 59.99
_cell_angle_beta 114.41
_cell_angle_gamma 65.59
loop_
_atom_site_label
_atom_site_type_symbol
_atom_site_fract_x
_atom_site_fract_y
_atom_site_fract_z
Na1 Na 0.000 0.833 0.833
Na2 Na 0.000 0.167 0.167
Al1 Al 0.697 0.107 0.893
Al2 Al 0.303 0.893 0.107
Zr1 Zr 0.500 0.833 0.833
Zr2 Zr 0.500 0.167 0.167
```


A relaxed LiErPdRh crystal. Source: Alexandria via LeMat-Bulk, functional PBE-GGA.

Calculated values
As for the space group: No. 216.

The structure in CIF format:
```
data_LiErPdRh
_chemical_formula_sum 'Li1 Er1 Pd1 Rh1'
_space_group_name_H-M_alt 'P 1'
_space_group_IT_number 1
_space_group_name_Hall 'P 1'
_cell_length_a 4.579
_cell_length_b 4.579
_cell_length_c 4.579
_cell_angle_alpha 60.00
_cell_angle_beta 60.00
_cell_angle_gamma 60.00
loop_
_atom_site_label
_atom_site_type_symbol
_atom_site_fract_x
_atom_site_fract_y
_atom_site_fract_z
Li1 Li 0.000 0.000 0.000
Rh1 Rh 0.750 0.750 0.750
Pd1 Pd 0.250 0.250 0.250
Er1 Er 0.500 0.500 0.500
```


A relaxed Ta2As crystal. Source: Alexandria via LeMat-Bulk, functional PBE-GGA.

Calculated values
As for the space group: No. 63.

The structure in CIF format:
```
data_Ta2As
_chemical_formula_sum 'Ta4 As2'
_space_group_name_H-M_alt 'P 1'
_space_group_IT_number 1
_space_group_name_Hall 'P 1'
_cell_length_a 6.797
_cell_length_b 6.797
_cell_length_c 4.561
_cell_angle_alpha 90.00
_cell_angle_beta 90.00
_cell_angle_gamma 150.62
loop_
_atom_site_label
_atom_site_type_symbol
_atom_site_fract_x
_atom_site_fract_y
_atom_site_fract_z
Ta1 Ta 0.431 0.569 0.250
Ta2 Ta 0.569 0.431 0.750
Ta3 Ta 0.759 0.241 0.250
Ta4 Ta 0.241 0.759 0.750
As1 As 0.095 0.905 0.250
As2 As 0.905 0.095 0.750
```


Number 1: calculated density 2.6 g cm⁻³, electronic total energy -24.833 eV per cell, N(E_F) 9.00 states/eV/cell. Number 2: calculated density 5.3 g cm⁻³, electronic total energy -12.701 eV per cell, N(E_F) 1.99 states/eV/cell. Number 3: calculated density 9.3 g cm⁻³, electronic total energy -6.710 eV per cell, N(E_F) 3.97 states/eV/cell. Number 4: calculated density 13.7 g cm⁻³, electronic total energy -30.485 eV per cell, N(E_F) 4.28 states/eV/cell. Number 5: calculated density 1.5 g cm⁻³, electronic total energy -6.989 eV per cell, N(E_F) 3.08 states/eV/cell. Number 6: calculated density 3.7 g cm⁻³, electronic total energy -147.194 eV per cell, N(E_F) 0.00 states/eV/cell. Number 7: calculated density 6.2 g cm⁻³, electronic total energy -29.864 eV per cell, N(E_F) 9.10 states/eV/cell. Number 8: calculated density 4.9 g cm⁻³, electronic total energy -22.461 eV per cell, N(E_F) 7.03 states/eV/cell. Number 9: calculated density 10.9 g cm⁻³, electronic total energy -45.706 eV per cell, N(E_F) 4.50 states/eV/cell. Number 10: calculated density 3.5 g cm⁻³, electronic total energy -26.764 eV per cell, N(E_F) 3.13 states/eV/cell. Number 11: calculated density 9.4 g cm⁻³, electronic total energy -21.612 eV per cell, N(E_F) 1.20 states/eV/cell. Number 12: calculated density 14.0 g cm⁻³, electronic total energy -57.559 eV per cell, N(E_F) 4.00 states/eV/cell.